# 1
Here is SrIn3Hg7 after structural relaxation from Alexandria via LeMat-Bulk. Energies are from PBE.

Cell: 6.6606 6.6606 7.7519 Å, 94.07 94.07 112.93°
Fractional coordinates of all 11 atoms:
Sr1 0.0000 0.0000 0.0000
In1 0.2648 0.7352 0.5000
In2 0.5000 0.5000 0.0000
In3 0.7352 0.2648 0.5000
Hg1 0.0000 0.0000 0.5000
Hg2 0.0712 0.4893 0.8170
Hg3 0.3414 0.3414 0.3336
Hg4 0.4893 0.0712 0.8170
Hg5 0.5107 0.9288 0.1830
Hg6 0.6586 0.6586 0.6664
Hg7 0.9288 0.5107 0.1830

***

# 2
Here is Sr3In2Hg3 after structural relaxation from Alexandria via LeMat-Bulk. Energies are from PBE.

Cell: 6.6608 6.6608 16.3862 Å, 90.00 90.00 136.72°
Fractional coordinates of all 16 atoms:
Sr1 0.0797 0.9203 0.6069
Sr2 0.0797 0.9203 0.8931
Sr3 0.3630 0.6370 0.7500
Sr4 0.6370 0.3630 0.2500
Sr5 0.9203 0.0797 0.1069
Sr6 0.9203 0.0797 0.3931
In1 0.2132 0.7868 0.0968
In2 0.2132 0.7868 0.4032
In3 0.7868 0.2132 0.5968
In4 0.7868 0.2132 0.9032
Hg1 0.3586 0.6414 0.2500
Hg2 0.3892 0.6108 0.5405
Hg3 0.3892 0.6108 0.9595
Hg4 0.6108 0.3892 0.0405
Hg5 0.6108 0.3892 0.4595
Hg6 0.6414 0.3586 0.7500

***

# 3
Here is Sr4InHg after structural relaxation from Alexandria via LeMat-Bulk. Energies are from PBE.

Output
**Relative energy among the computed polymorphs**: 0 meV per atom

Cell: 4.0796 4.0796 14.3960 Å, 90.00 90.00 90.00°
Fractional coordinates of all 6 atoms:
Sr1 0.0000 0.0000 0.1329
Sr2 0.0000 0.0000 0.8671
Sr3 0.5000 0.5000 0.3630
Sr4 0.5000 0.5000 0.6370
In1 0.0000 0.0000 0.5000
Hg1 0.5000 0.5000 0.0000

***

# 4
Here is SrIn12Hg6 after structural relaxation from Alexandria via LeMat-Bulk. Energies are from PBE.

Output
**Relative energy among the computed polymorphs**: 43 meV per atom

Cell: 8.6914 8.6914 8.6914 Å, 106.85 106.85 106.85°
Fractional coordinates of all 19 atoms:
Sr1 0.0000 0.0000 0.0000
In1 0.1088 0.5000 0.8912
In2 0.1088 0.8912 0.5000
In3 0.1767 0.4104 0.4104
In4 0.4104 0.1767 0.4104
In5 0.4104 0.4104 0.1767
In6 0.5000 0.1088 0.8912
In7 0.5000 0.8912 0.1088
In8 0.5896 0.5896 0.8233
In9 0.5896 0.8233 0.5896
In10 0.8233 0.5896 0.5896
In11 0.8912 0.1088 0.5000
In12 0.8912 0.5000 0.1088
Hg1 0.2424 0.7211 0.7211
Hg2 0.2789 0.2789 0.7576
Hg3 0.2789 0.7576 0.2789
Hg4 0.7211 0.2424 0.7211
Hg5 0.7211 0.7211 0.2424
Hg6 0.7576 0.2789 0.2789

***

| no. | formation energy (eV per formula unit) | electronic total energy (eV/f.u.) |
| --- | --- | --- |
| 1 | -1.30 | -13.31 |
| 2 | -3.76 | -15.19 |
| 3 | -2.08 | -11.84 |
| 4 | -0.03 | -36.38 |